VASP calculation (PBE with a Hubbard U) on a geometry-optimized CrNiOF2 structure.

abc: 3.949 3.949 3.923
angles: 90.00 90.00 90.00
Last column: magnetic moment on the atom in μB.
Fractional positions:
1 O 0.000 0.000 0.500  0.01
2 Cr 0.000 0.000 0.000  3.15
3 F 0.500 0.000 0.000  -0.01
4 F 0.000 0.500 0.000  -0.01
5 Ni 0.500 0.500 0.500  -1.35

Summary:
volume: 12.2 Å³/atom
calculated total energy: -0.3664 Ry per atom
density of states at the Fermi level: 7.9 states/eV per cell